Density functional theory data (PBE+U) for a geometry-optimized NbCo2F structure.

Summary:
The theoretical density comes out at 6.9 g/cm³. The value obtained for the energy above the most stable polymorph in this dataset is 0 kJ/mol of formula units. As for the space-group type: No. 122. The calculation puts the density of states at the Fermi level at 2.654 states/eV/f.u.

abc: 6.8483 6.8483 5.3850
angles: 50.52 50.52 90.00
Each line ends with the local moment (μB).
Fractional coordinates of all 8 atoms:
F1 0.5000 0.5000 0.0000  -0.01
Co1 0.5874 0.1250 0.2500  1.89
Nb1 0.7500 0.2500 0.5000  -1.00
Co2 0.8750 0.8374 0.7500  1.91
Co3 0.1626 0.6250 0.2500  1.92
F2 0.2500 0.7500 0.5000  -0.01
Nb2 0.0000 0.0000 0.0000  -1.00
Co4 0.3750 0.4126 0.7500  1.88